1.
A geometry-optimized LiCeNdIn structure, computed with PBE.

Output
DFT formation energy ... -0.144 eV per atom
SG ... F-43m
ρ ... 5.99 g/cm³
Spin magnetization ... 1.033 μB per cell

The structure in extended XYZ format:
```
4
Lattice="-4.275 2.887 1.667 -2.552 -1.339 4.592 0.419 3.191 4.363" Properties=species:S:1:pos:R:3 pbc="T T T"
Li 0.000 0.000 0.000
Nd -1.602 1.185 2.655
Ce -4.806 3.554 7.966
In -3.204 2.370 5.311
```


2.
A geometry-optimized Li2MgUN4 structure, computed with PBE.

Output
SG ... C2/c
Formation energy from raw total energies ... -0.635 eV per atom
ρ ... 5.98 g/cm³
Spin magnetization ... 0.000 μB per cell

The structure in extended XYZ format:
```
16
Lattice="6.233 0.204 0.109 0.199 6.233 0.109 -3.078 -3.080 4.653" Properties=species:S:1:pos:R:3 pbc="T T T"
Li 3.116 0.102 0.054
Li 1.578 -1.438 2.381
Li -1.539 -1.540 2.326
Li 3.216 3.218 0.109
Mg 0.100 3.117 0.054
Mg 4.794 1.780 2.489
U 1.677 1.678 2.435
U 3.155 -2.876 4.761
N -1.516 1.724 4.661
N 3.107 0.317 2.535
N 0.247 3.040 2.335
N 4.871 1.633 0.209
N 1.840 1.880 4.748
N 3.153 3.194 2.558
N 0.201 0.162 2.312
N 1.515 1.477 0.123
```